No. 1
Density functional theory data (GGA-PBE) for crystalline AcTc2O8 at its relaxed geometry.

- energy (eV/atom) = -7.11
- energy relative to the elements, uncorrected (eV per atom) = -1.246

Cell lengths 4.836, 4.836, 6.050 Å; angles 90.00, 90.00, 90.00 degrees
Space group P4/mmm (No. 123)
One atom of each set of equivalent atoms:
Ac  0.000  0.000  0.000 x1
Tc  0.000  0.500  0.500 x2
O  0.252  0.252  0.309 x8



No. 2
Density functional theory data (GGA-PBE) for crystalline Ac2TcO8 at its relaxed geometry.

- energy (eV/atom) = -7.12
- energy relative to the elements, uncorrected (eV per atom) = -1.823

Cell lengths 4.743, 5.307, 8.361 Å; angles 89.55, 73.77, 88.65 degrees
Space group P-1 (No. 2)
One atom of each set of equivalent atoms:
Ac  0.148  0.000  0.206 x2
Tc  0.000  0.500  0.500 x1
O  0.116  0.500  0.271 x2
O  0.164  0.810  0.501 x2
O  0.304  0.139  0.882 x2
O  0.313  0.861  0.883 x2



No. 3
Density functional theory data (GGA-PBE) for crystalline AcTcO3 at its relaxed geometry.

- energy (eV/atom) = -8.01
- energy relative to the elements, uncorrected (eV per atom) = -2.145

Cell lengths 4.065, 4.065, 4.065 Å; angles 90.00, 90.00, 90.00 degrees
Space group Pm-3m (No. 221)
One atom of each set of equivalent atoms:
Ac  0.000  0.000  0.000 x1
Tc  0.500  0.500  0.500 x1
O  0.000  0.500  0.500 x3



No. 4
Density functional theory data (GGA-PBE) for crystalline Ac4TcO10 at its relaxed geometry.

- energy (eV/atom) = -7.46
- energy relative to the elements, uncorrected (eV per atom) = -2.364

Cell lengths 8.951, 8.951, 5.783 Å; angles 90.00, 90.00, 90.00 degrees
Space group I4/m (No. 87)
One atom of each set of equivalent atoms:
Ac  0.101  0.299  0.000 x8
Tc  0.000  0.000  0.500 x2
O  0.000  0.500  0.250 x4
O  0.090  0.830  0.288 x16



No. 5
Density functional theory data (GGA-PBE) for crystalline AcTcO5 at its relaxed geometry.

- energy (eV/atom) = -7.65
- energy relative to the elements, uncorrected (eV per atom) = -2.043

Cell lengths 8.125, 8.125, 4.560 Å; angles 90.00, 90.00, 90.00 degrees
Space group P4/nmm (No. 129, origin choice 2)
One atom of each set of equivalent atoms:
Ac  0.250  0.250  0.239 x2
Tc  0.250  0.750  0.500 x2
O  0.074  0.750  0.722 x8
O  0.250  0.250  0.740 x2



No. 6
Density functional theory data (GGA-PBE) for crystalline AcTcO5 at its relaxed geometry.

- energy (eV/atom) = -7.61
- energy relative to the elements, uncorrected (eV per atom) = -2.000

Cell lengths 9.461, 6.755, 7.815 Å; angles 90.00, 114.01, 90.00 degrees
Space group C2/c (No. 15)
One atom of each set of equivalent atoms:
Ac  0.000  0.057  0.250 x4
Tc  0.000  0.500  0.000 x4
O  0.000  0.441  0.250 x4
O  0.007  0.222  0.965 x8
O  0.211  0.490  0.605 x8



No. 7
Density functional theory data (GGA-PBE) for crystalline AcTcO4 at its relaxed geometry.

- energy (eV/atom) = -7.82
- energy relative to the elements, uncorrected (eV per atom) = -2.105

Cell lengths 3.852, 3.852, 12.091 Å; angles 90.00, 90.00, 90.00 degrees
Space group P4/nmm (No. 129, origin choice 2)
One atom of each set of equivalent atoms:
Ac  0.250  0.250  0.120 x2
Tc  0.250  0.250  0.645 x2
O  0.250  0.250  0.800 x2
O  0.250  0.750  0.000 x2
O  0.250  0.750  0.365 x4



No. 8
Density functional theory data (GGA-PBE) for crystalline Ac3Tc5O12 at its relaxed geometry.

- energy (eV/atom) = -7.91
- energy relative to the elements, uncorrected (eV per atom) = -1.725

Cell lengths 13.221, 13.221, 13.221 Å; angles 90.00, 90.00, 90.00 degrees
Space group Ia-3d (No. 230)
One atom of each set of equivalent atoms:
Ac  0.000  0.250  0.125 x24
Tc  0.000  0.000  0.000 x16
Tc  0.000  0.250  0.375 x24
O  0.031  0.051  0.646 x96



Question: The highest energy belongs to which entry?
Answer: AcTc2O8



Question: energy relative to the elements, uncorrected of number 1 (AcTc2O8)?
Answer: -1.246 eV per atom



Question: energy of number 6 (AcTcO5)?
Answer: -7.61 eV/atom